(1)
DFT (PBE) results for CePr2Tl2Cd2 after structural relaxation.

```
data_CePr2Tl2Cd2
_space_group_name_H-M_alt 'R -3 m'
_space_group_IT_number 166
_space_group_name_Hall '-R 3 2"'
_cell_length_a 5.1079
_cell_length_b 5.1079
_cell_length_c 27.3244
_cell_angle_alpha 90.00
_cell_angle_beta 90.00
_cell_angle_gamma 120.00
loop_
_atom_site_label
_atom_site_type_symbol
_atom_site_fract_x
_atom_site_fract_y
_atom_site_fract_z
_atom_site_occupancy
Ce1 Ce 0.0000 0.0000 0.0000 1
Pr1 Pr 0.0000 0.0000 0.1264 1
Tl1 Tl 0.0000 0.0000 0.2621 1
Cd1 Cd 0.0000 0.0000 0.3941 1
```

Summary:
E_tot (eV/atom): -3.3055

(2)
DFT (PBE) results for CePrZnCd after structural relaxation.

```
data_CePrZnCd
_space_group_name_H-M_alt 'F -4 3 m'
_space_group_IT_number 216
_space_group_name_Hall 'F -4 2 3'
_cell_length_a 7.558
_cell_length_b 7.558
_cell_length_c 7.558
_cell_angle_alpha 90.00
_cell_angle_beta 90.00
_cell_angle_gamma 90.00
loop_
_atom_site_label
_atom_site_type_symbol
_atom_site_fract_x
_atom_site_fract_y
_atom_site_fract_z
_atom_site_occupancy
Ce1 Ce 0.000 0.000 0.000 1
Pr1 Pr 0.000 0.000 0.500 1
Zn1 Zn 0.250 0.250 0.250 1
Cd1 Cd 0.250 0.250 0.750 1
```

Summary:
E_tot (eV/atom): -3.4176

(3)
DFT (PBE) results for CePrZnCd after structural relaxation.

```
data_CePrZnCd
_space_group_name_H-M_alt 'P 4 m m'
_space_group_IT_number 99
_space_group_name_Hall 'P 4 -2'
_cell_length_a 3.715
_cell_length_b 3.715
_cell_length_c 7.719
_cell_angle_alpha 90.00
_cell_angle_beta 90.00
_cell_angle_gamma 90.00
loop_
_atom_site_label
_atom_site_type_symbol
_atom_site_fract_x
_atom_site_fract_y
_atom_site_fract_z
_atom_site_occupancy
Ce1 Ce 0.000 0.000 0.000 1
Pr1 Pr 0.000 0.000 0.460 1
Zn1 Zn 0.500 0.500 0.225 1
Cd1 Cd 0.500 0.500 0.734 1
```

Summary:
E_tot (eV/atom): -3.4513

(4)
DFT (PBE) results for CeCd3Pt4 after structural relaxation.

```
data_CeCd3Pt4
_space_group_name_H-M_alt 'I m -3 m'
_space_group_IT_number 229
_space_group_name_Hall '-I 4 2 3'
_cell_length_a 6.722
_cell_length_b 6.722
_cell_length_c 6.722
_cell_angle_alpha 90.00
_cell_angle_beta 90.00
_cell_angle_gamma 90.00
loop_
_atom_site_label
_atom_site_type_symbol
_atom_site_fract_x
_atom_site_fract_y
_atom_site_fract_z
_atom_site_occupancy
Ce1 Ce 0.000 0.000 0.000 1
Cd1 Cd 0.000 0.000 0.500 1
Pt1 Pt 0.250 0.250 0.250 1
```

Summary:
E_tot (eV/atom): -4.5822

(5)
DFT (PBE) results for Ce3Cd2Pt3 after structural relaxation.

```
data_Ce3Cd2Pt3
_space_group_name_H-M_alt 'P 63/m c m'
_space_group_IT_number 193
_space_group_name_Hall '-P 6c 2'
_cell_length_a 8.5737
_cell_length_b 8.5737
_cell_length_c 5.8684
_cell_angle_alpha 90.00
_cell_angle_beta 90.00
_cell_angle_gamma 120.00
loop_
_atom_site_label
_atom_site_type_symbol
_atom_site_fract_x
_atom_site_fract_y
_atom_site_fract_z
_atom_site_occupancy
Ce1 Ce 0.0000 0.2795 0.2500 1
Cd1 Cd 0.3333 0.6667 0.0000 1
Pt1 Pt 0.0000 0.3761 0.7500 1
```

Summary:
E_tot (eV/atom): -5.5181

(6)
DFT (PBE) results for CeCdPt3 after structural relaxation.

```
data_CeCdPt3
_space_group_name_H-M_alt 'P 63/m m c'
_space_group_IT_number 194
_space_group_name_Hall '-P 6c 2c'
_cell_length_a 6.6208
_cell_length_b 6.6208
_cell_length_c 5.5516
_cell_angle_alpha 90.00
_cell_angle_beta 90.00
_cell_angle_gamma 120.00
loop_
_atom_site_label
_atom_site_type_symbol
_atom_site_fract_x
_atom_site_fract_y
_atom_site_fract_z
_atom_site_occupancy
Ce1 Ce 0.3333 0.6667 0.2500 1
Cd1 Cd 0.0000 0.0000 0.0000 1
Pt1 Pt 0.2014 0.4029 0.7500 1
```

Summary:
E_tot (eV/atom): -5.5011

Looking at DFT formation energy for the records above, in order, we have -154.7, -192.0, -225.7, -476.9, -798.8, -506.8 meV/atom.
Looking at Fermi-level density of states for the records above, in order, we have 10.13, 10.15, 8.91, 6.68, 16.22, 6.52 states/eV/f.u..